A plane-wave DFT calculation with PBE was carried out for an optimized crystal structure of TlPdF3.

As for the energy above the most stable polymorph in this dataset: 0 meV per atom. The value obtained for the formation energy (no corrections) is -1.44 eV/atom.

It has space group C2/m (No. 12), with a = 8.496 Å, b = 11.412 Å, c = 4.351 Å, α = 90.00°, β = 115.72° and γ = 90.00°. The asymmetric unit holds Tl at (0.000, 0.193, 0.000), Pd at (0.147, 0.500, 0.389), F at (0.000, 0.379, 0.500) and F at (0.220, 0.125, 0.707).